Material: TcTe2N2
Method: DFT, GGA-PBE
State: relaxed

Results
Formation energy without anion corrections ... 1.275 eV per atom
Polymorph energy (0 for the lowest one) ... 474.4 meV per atom
Symmetry ... No. 123

Lattice parameters (Å, degrees): 5.3429 5.3429 3.6803 90.00 90.00 90.00
Last column: nearest neighbours and their distance in Å.
Element x y z (fractional)
Tc 0.0000 0.0000 0.0000  2 N 1.84
N 0.5000 0.5000 0.5000  8 Te 3.24
Te 0.0000 0.5000 0.0000  2 Tc 2.67
N 0.0000 0.0000 0.5000  2 Tc 1.84
Te 0.5000 0.0000 0.0000  2 Tc 2.67


Material: Pr3Au
Method: DFT, GGA-PBE
State: relaxed

Results
Polymorph energy (0 for the lowest one) ... 182.2 meV per atom
Symmetry ... No. 25
E_form ... -16.1 kJ/mol of atoms

Lattice parameters (Å, degrees): 3.8101 3.7659 9.6553 90.00 90.00 90.00
Last column: nearest neighbours and their distance in Å.
Element x y z (fractional)
Pr 0.0000 0.5000 0.4667  10 Pr 3.69-3.81
Pr 0.5000 0.0000 0.7364  2 Au 3.11
Au 0.0000 0.0000 0.9904  6 Pr 3.04-3.11
Pr 0.5000 0.5000 0.1399  4 Au 3.04


Material: PmTi4Cu3O12
Method: DFT, GGA-PBE
State: relaxed

Results
Formation energy without anion corrections ... -2.376 eV per atom
Symmetry ... No. 204

Lattice parameters (Å, degrees): 6.4916 6.4916 6.4916 109.47 109.47 109.47
Last column: nearest neighbours and their distance in Å.
Element x y z (fractional)
O 0.7027 0.1774 0.8802  2 Ti 1.98, 1 Cu 2.02
O 0.4747 0.2973 0.1774  2 Ti 1.98, 1 Cu 2.02
Cu 0.5000 0.5000 0.0000  4 O 2.02
Cu 0.0000 0.5000 0.5000  4 O 2.02
O 0.1774 0.4747 0.2973  2 Ti 1.98, 1 Cu 2.02
O 0.8226 0.5253 0.7027  2 Ti 1.98, 1 Cu 2.02
Ti 0.0000 0.0000 0.5000  6 O 1.98
Ti 0.5000 0.5000 0.5000  6 O 1.98
O 0.1198 0.2973 0.8226  2 Ti 1.98, 1 Cu 2.02
O 0.2973 0.8226 0.1198  2 Ti 1.98, 1 Cu 2.02
Pm 0.0000 0.0000 0.0000  12 O 2.60
O 0.8802 0.7027 0.1774  2 Ti 1.98, 1 Cu 2.02
Ti 0.0000 0.5000 0.0000  6 O 1.98
O 0.8226 0.1198 0.2973  2 Ti 1.98, 1 Cu 2.02
O 0.7027 0.8226 0.5253  2 Ti 1.98, 1 Cu 2.02
Cu 0.5000 0.0000 0.5000  4 O 2.02
O 0.2973 0.1774 0.4747  2 Ti 1.98, 1 Cu 2.02
O 0.1774 0.8802 0.7027  2 Ti 1.98, 1 Cu 2.02
O 0.5253 0.7027 0.8226  2 Ti 1.98, 1 Cu 2.02
Ti 0.5000 0.0000 0.0000  6 O 1.98


no.,total magnetic moment (μB/atom),total energy (eV per atom)
1,0.287,-5.385
2,0.001,-4.571
3,0.101,-7.781